[1]
A plane-wave DFT calculation with PBE-GGA was carried out for an optimized crystal structure of CaTbZn4.

Output
ΔE_f: -0.281 eV/atom
calculated density: 6.49 Mg/m³

Cell lengths 7.7844, 7.7844, 7.7844 Å; angles 90.00, 90.00, 90.00 degrees
With the nearest neighbours (Å) after each atom.
Space group F-43m (No. 216)
Symmetry-distinct sites (fractional):
Ca 0.0000 0.0000 0.0000  12 Zn 3.23, 4 Tb 3.37
Tb 0.2500 0.2500 0.7500  12 Zn 3.22, 4 Ca 3.37
Zn 0.1240 0.1240 0.3760  6 Zn 2.73-2.77


[2]
A plane-wave DFT calculation with PBE-GGA was carried out for an optimized crystal structure of CaTbZn2.

Output
ΔE_f: -0.299 eV/atom
calculated density: 5.77 Mg/m³

Cell lengths 5.1319, 5.1319, 3.6016 Å; angles 90.00, 90.00, 90.00 degrees
With the nearest neighbours (Å) after each atom.
Space group P4/mmm (No. 123)
Symmetry-distinct sites (fractional):
Ca 0.0000 0.0000 0.0000  8 Zn 3.13
Tb 0.5000 0.5000 0.0000  8 Zn 3.13
Zn 0.0000 0.5000 0.5000  4 Tb 3.13, 4 Ca 3.13


[3]
A plane-wave DFT calculation with PBE-GGA was carried out for an optimized crystal structure of CaTb2Zn9.

Output
ΔE_f: -0.282 eV/atom
calculated density: 7.00 Mg/m³

Cell lengths 5.5043, 5.5043, 25.6831 Å; angles 90.00, 90.00, 120.00 degrees
With the nearest neighbours (Å) after each atom.
Space group R-3m (No. 166, hexagonal axes)
Symmetry-distinct sites (fractional):
Ca 0.0000 0.0000 0.0000  18 Zn 3.18-3.48
Tb 0.0000 0.0000 0.1415  12 Zn 3.14-3.24, 3 Tb 3.43
Zn 0.0000 0.0000 0.3351  6 Zn 2.64-2.68
Zn 0.0000 0.0000 0.5000  6 Zn 2.69
Zn 0.0064 0.5032 0.9170  7 Zn 2.64-2.81


[4]
A plane-wave DFT calculation with PBE-GGA was carried out for an optimized crystal structure of CaTbZn3.

Output
ΔE_f: -0.301 eV/atom
calculated density: 5.79 Mg/m³

Cell lengths 3.6896, 27.7202, 4.4365 Å; angles 90.00, 90.00, 90.00 degrees
With the nearest neighbours (Å) after each atom.
Space group Cmcm (No. 63)
Symmetry-distinct sites (fractional):
Ca 0.0000 0.2064 0.2500  6 Zn 3.11-3.14
Tb 0.0000 0.0692 0.7500  12 Zn 3.15-3.23
Zn 0.0000 0.3351 0.2500  2 Zn 2.62
Zn 0.0000 0.3854 0.7500  3 Zn 2.55-2.62
Zn 0.0000 0.4773 0.7500  3 Zn 2.55


[5]
A plane-wave DFT calculation with PBE-GGA was carried out for an optimized crystal structure of Ca4TbZn5.

Output
ΔE_f: -0.258 eV/atom
calculated density: 4.39 Mg/m³

Cell lengths 3.6546, 3.6546, 18.3161 Å; angles 90.00, 90.00, 90.00 degrees
With the nearest neighbours (Å) after each atom.
Space group P4/mmm (No. 123)
Symmetry-distinct sites (fractional):
Ca 0.0000 0.0000 0.1014  8 Zn 3.17-3.18
Ca 0.0000 0.0000 0.3033  8 Zn 3.18-3.21
Tb 0.0000 0.0000 0.5000  8 Zn 3.09
Zn 0.5000 0.5000 0.0000  8 Ca 3.18
Zn 0.5000 0.5000 0.2019  8 Ca 3.17-3.18
Zn 0.5000 0.5000 0.4076  4 Tb 3.09, 4 Ca 3.21, 1 Zn 3.38


[6]
A plane-wave DFT calculation with PBE-GGA was carried out for an optimized crystal structure of Ca3TbZn4.

Output
ΔE_f: -0.262 eV/atom
calculated density: 4.61 Mg/m³

Cell lengths 3.6548, 3.6548, 14.5898 Å; angles 90.00, 90.00, 90.00 degrees
With the nearest neighbours (Å) after each atom.
Space group P4/mmm (No. 123)
Symmetry-distinct sites (fractional):
Ca 0.0000 0.0000 0.0000  8 Zn 3.17
Ca 0.0000 0.0000 0.2532  8 Zn 3.18-3.22
Tb 0.0000 0.0000 0.5000  8 Zn 3.08
Zn 0.5000 0.5000 0.1261  8 Ca 3.17-3.18
Zn 0.5000 0.5000 0.3846  4 Tb 3.08, 4 Ca 3.22, 1 Zn 3.37


[7]
A plane-wave DFT calculation with PBE-GGA was carried out for an optimized crystal structure of Ca2TbZn9.

Output
ΔE_f: -0.264 eV/atom
calculated density: 6.13 Mg/m³

Cell lengths 5.4831, 5.4831, 25.8414 Å; angles 90.00, 90.00, 120.00 degrees
With the nearest neighbours (Å) after each atom.
Space group R-3m (No. 166, hexagonal axes)
Symmetry-distinct sites (fractional):
Ca 0.0000 0.0000 0.1421  12 Zn 3.16-3.24, 3 Ca 3.41
Tb 0.0000 0.0000 0.0000  18 Zn 3.17-3.45
Zn 0.0000 0.0000 0.3350  6 Zn 2.61-2.65
Zn 0.0000 0.0000 0.5000  6 Zn 2.73
Zn 0.0058 0.5029 0.9187  7 Zn 2.61-2.79


[8]
A plane-wave DFT calculation with PBE-GGA was carried out for an optimized crystal structure of CaTb2Zn4.

Output
ΔE_f: -0.057 eV/atom
calculated density: 5.94 Mg/m³

Cell lengths 4.9645, 4.9645, 24.3498 Å; angles 90.00, 90.00, 120.00 degrees
With the nearest neighbours (Å) after each atom.
Space group R-3m (No. 166, hexagonal axes)
Symmetry-distinct sites (fractional):
Ca 0.0000 0.0000 0.0000  8 Zn 2.99-3.20
Tb 0.0000 0.0000 0.2442  7 Zn 2.96-2.98
Zn 0.0000 0.0000 0.1227  4 Tb 2.96-2.98, 1 Ca 2.99, 3 Zn 3.27
Zn 0.0000 0.0000 0.3914  3 Tb 2.96, 3 Ca 3.20, 3 Zn 3.27


> Which of these has the lowest calculated density?

Ca4TbZn5